Below is a relaxed structure of LiCa2CuN, with properties calculated at the PBE level.

Geometry as POSCAR:
```
LiCa2CuN
1.0
-2.196 4.465 0.672
-4.474 -2.052 -0.991
-0.466 -0.794 3.750
Ca Li Cu N
2 1 1 1
Direct
0.000 0.500 0.000
0.500 0.000 0.000
0.500 0.500 0.500
0.000 0.000 0.500
0.000 0.000 0.000
```

Values from the calculation:
Crystal system: tetragonal
Final energy (eV per atom): -3.895
Excess energy over the best structure of this formula in the dataset (meV/atom): 132.4

Below is a relaxed structure of NaLiCa2Cu, with properties calculated at the PBE level.

Geometry as POSCAR:
```
NaLiCa2Cu
1.0
-3.392 -3.583 2.645
-0.212 -3.192 -4.595
4.358 -2.826 1.762
Na Ca Cu Li
1 2 1 1
Direct
0.000 0.000 0.500
0.000 0.500 0.000
0.500 0.000 0.000
0.000 0.000 0.000
0.500 0.500 0.500
```

Values from the calculation:
Crystal system: tetragonal
Final energy (eV per atom): -2.123
Excess energy over the best structure of this formula in the dataset (meV/atom): 74.1
ΔH_f (0 K) (kJ/mol of formula units): 69.3

Below is a relaxed structure of NaLiCa2Cu, with properties calculated at the PBE level.

Geometry as POSCAR:
```
NaLiCa2Cu
1.0
-0.037 5.627 -0.541
-3.461 -0.450 -4.447
-3.971 0.268 3.063
Na Ca Cu Li
1 2 1 1
Direct
0.500 0.500 0.500
0.000 0.500 0.000
0.500 0.000 0.000
0.000 0.000 0.000
0.000 0.000 0.500
```

Values from the calculation:
Crystal system: tetragonal
Final energy (eV per atom): -2.197
Excess energy over the best structure of this formula in the dataset (meV/atom): 0.0
ΔH_f (0 K) (kJ/mol of formula units): 33.5

no.,total magnetic moment (μB/cell)
1,0.000
2,0.000
3,0.000